Entry 1:
Entry from Alexandria via LeMat-Bulk: a relaxed GaMo crystal (PBE-GGA).

Cell: 8.0404 8.0404 8.0404 Å, 90.00 90.00 90.00°
Last column: nearest neighbours and their distance in Å.
Space group I-43m (No. 217)
Inequivalent atoms, fractional coordinates:
Ga  0.2044  0.2044  0.2044 (multiplicity 8)  4 Mo 2.57-2.75
Mo  0.1107  0.1107  0.8893 (multiplicity 8)  3 Mo 2.52, 4 Ga 2.57-2.75

Its energy of formation from the pure elements is 1.19 eV per atom. Its density of states at the Fermi level is 20.0 states/eV per cell. The distance to the lowest polymorph of the same formula is 1275 meV per atom. As for the density: 4.2 g/cm³.

---

Entry 2:
Entry from Alexandria via LeMat-Bulk: a relaxed Pr4SiSe3 crystal (PBE-GGA).

Cell: 6.0456 6.0456 6.0456 Å, 90.00 90.00 90.00°
Last column: nearest neighbours and their distance in Å.
Space group Pm-3m (No. 221)
Inequivalent atoms, fractional coordinates:
Pr  0.0000  0.0000  0.0000 (multiplicity 1)  6 Se 3.02
Pr  0.0000  0.5000  0.5000 (multiplicity 3)  4 Se 3.02, 2 Si 3.02
Si  0.5000  0.5000  0.5000 (multiplicity 1)  6 Pr 3.02
Se  0.0000  0.0000  0.5000 (multiplicity 3)  6 Pr 3.02

Its density of states at the Fermi level is 3.7 states/eV per cell. As for the uncorrected formation energy: -1.621 eV per atom. As for the density: 6.2 g/cm³.